Entry 1:
Computed, not measured: a geometry-optimized P2PdRhO structure at the PBE level of DFT.

Offset from the most stable computed form   0.00 eV per formula unit
Calculated density   5.83 g cm⁻³
Calculated total energy   -5.349 eV/atom
ΔE_f (raw)   0.316 eV per atom

a = 4.742 Å, b = 4.742 Å, c = 3.638 Å
α = 90.00°, β = 90.00°, γ = 90.00°
Space group P4/mmm (No. 123)
One atom of each set of equivalent atoms:
1 P 0.000 0.500 0.000
2 Pd 0.000 0.000 0.500
3 Rh 0.500 0.500 0.000
4 O 0.500 0.500 0.500



Entry 2:
Computed, not measured: a geometry-optimized PPdRhO2 structure at the PBE level of DFT.

Offset from the most stable computed form   2.51 eV per formula unit
Calculated density   6.05 g cm⁻³
Calculated total energy   -5.071 eV/atom
ΔE_f (raw)   0.504 eV per atom

a = 3.745 Å, b = 3.745 Å, c = 5.323 Å
α = 90.00°, β = 90.00°, γ = 90.00°
Space group P4/mmm (No. 123)
One atom of each set of equivalent atoms:
1 P 0.000 0.000 0.000
2 Pd 0.000 0.000 0.500
3 Rh 0.500 0.500 0.000
4 O 0.000 0.500 0.500